1.
Below is crystalline La3Nd4YS8 at its relaxed geometry, with properties calculated at the PBE level.

```
La3Nd4YS8
1.0
8.1787 0.0000 0.0000
0.0000 8.1658 -0.0158
-4.0893 -4.0860 5.7864
S Y La Nd
8 1 3 4
direct
0.2446 0.7477 0.0030
0.2484 0.2451 0.4967
0.2446 0.7477 0.4893
0.7584 0.7477 0.0030
0.7554 0.2523 0.9970
0.2416 0.2523 0.9970
0.7516 0.7549 0.5033
0.7554 0.2523 0.5107
0.0000 0.5000 0.0000
0.0000 0.5000 0.5000
0.5000 0.5000 0.0000
0.5000 0.5000 0.5000
0.0000 0.0000 0.0000
0.5000 0.0000 0.0000
0.0000 0.0000 0.5000
0.5000 0.0000 0.5000
```

## Properties
Total energy: -6.655 eV/atom


2.
Below is crystalline LaNd4Y3S8 at its relaxed geometry, with properties calculated at the PBE level.

```
LaNd4Y3S8
1.0
-6.0196 -4.8560 -2.1868
5.2323 -6.0732 -0.9167
-0.3616 3.9521 6.9893
Y Nd S La
3 4 8 1
direct
0.5000 0.5000 0.0000
0.5000 0.5000 0.5000
0.0000 0.5000 0.5000
0.5000 0.0000 0.5000
0.0000 0.0000 0.5000
0.5000 0.0000 0.0000
0.0000 0.0000 0.0000
0.7383 0.7409 0.9896
0.7487 0.2591 0.0104
0.2617 0.2591 0.0104
0.7450 0.7350 0.4900
0.2513 0.7409 0.9896
0.7487 0.2591 0.4974
0.2550 0.2650 0.5100
0.2513 0.7409 0.5026
0.0000 0.5000 0.0000
```

## Properties
Total energy: -6.802 eV/atom


3.
Below is crystalline LaNdY2S4 at its relaxed geometry, with properties calculated at the PBE level.

```
LaNdY2S4
1.0
-1.8803 -1.5941 3.1035
5.5660 -4.1773 1.2265
4.3278 3.2515 4.2921
S Nd Y La
4 1 2 1
direct
0.5000 0.7664 0.2462
0.0000 0.2319 0.2582
0.0000 0.7681 0.7418
0.5000 0.2336 0.7538
0.0000 0.5000 0.5000
0.5000 0.0000 0.5000
0.0000 0.0000 0.0000
0.5000 0.5000 0.0000
```

## Properties
Total energy: -6.943 eV/atom


4.
Below is crystalline La3Nd3YS8 at its relaxed geometry, with properties calculated at the PBE level.

```
La3Nd3YS8
1.0
-1.0092 -8.0782 0.4885
6.5959 3.0700 -3.6861
-0.7518 0.5876 8.1668
S Nd Y La
8 3 1 3
direct
0.2407 0.4815 0.7377
0.2438 0.0030 0.2623
0.7593 0.0031 0.2623
0.7562 0.9970 0.7377
0.7486 0.4971 0.7457
0.7593 0.5185 0.2623
0.2407 0.9969 0.7377
0.2514 0.5029 0.2543
0.0000 0.5000 0.5000
0.5000 0.0000 0.5000
0.5000 0.5000 0.5000
0.0000 0.0000 0.5000
0.5000 0.5000 0.0000
0.0000 0.0000 0.0000
0.0000 0.5000 0.0000
```

## Properties
Total energy: -6.681 eV/atom


In the order shown, the computed total moment values come out to 0.00, 0.00, 0.00, 0.00 μB per atom.